Compound: ScCoPd
Source: Alexandria via LeMat-Bulk
Functional: GGA-PBE
Structure: optimized geometry

Output
- total energy (eV for the cell shown) = -80.16
- space-group type = Cm, No. 8
- energy relative to the elements (eV/atom) = -0.4700
- total magnetization (μB/cell) = 3.37

Structure (POSCAR):
```
ScCoPd
1.0
-0.121 -5.284 -0.370
2.676 -0.278 3.087
-6.667 0.616 5.834
Pd Co Sc
4 4 4
direct
0.289 0.500 0.067
0.569 0.500 0.450
0.569 0.000 0.950
0.289 0.000 0.567
0.055 0.500 0.433
0.055 0.000 0.933
0.860 0.500 0.873
0.860 0.000 0.373
0.325 0.500 0.765
0.808 0.000 0.659
0.325 0.000 0.265
0.808 0.500 0.159
```